Entry 1:
{
  "formula": "Mn2HgAs",
  "functional": "PBE-GGA",
  "state": "optimized geometry",
  "lattice": [[-2.5501, 1.9275, 0.1547], [-0.8230, -0.8501, -2.9736], [-3.7242, -5.1275, 2.4968]],
  "species": ["Mn", "Mn", "As", "Hg"],
  "fractional_positions": [[0.0000, 0.0000, 0.0379], [0.5000, 0.5000, 0.2674], [0.0000, 0.0000, 0.4194], [0.5000, 0.5000, 0.7753]],
  "density_g_cm3": 9.17,
  "delta_e_f_ev_per_atom": 0.1706,
  "final_energy_ev_per_atom": -5.65,
  "space_group": "No. 99",
  "de_polymorph_ev_per_atom": 0.000
}

***

Entry 2:
{
  "formula": "MnHg2As",
  "functional": "PBE-GGA",
  "state": "optimized geometry",
  "lattice": [[9.2082, 0.0049, 0.0029], [8.6239, 3.2279, 0.0029], [8.6239, 1.5634, 2.8240]],
  "species": ["Hg", "Hg", "As", "Mn"],
  "fractional_positions": [[0.5048, 0.5048, 0.5048], [0.9952, 0.9952, 0.9952], [0.7500, 0.7500, 0.7500], [0.2500, 0.2500, 0.2500]],
  "density_g_cm3": 10.53,
  "delta_e_f_ev_per_atom": 0.3802,
  "final_energy_ev_per_atom": -3.23,
  "space_group": "No. 166"
}

***

Entry 3:
{
  "formula": "MnHgAs2",
  "functional": "PBE-GGA",
  "state": "optimized geometry",
  "lattice": [[7.3280, 0.4178, -0.1119], [5.2829, 5.0956, 0.1119], [-6.2978, -2.7743, 2.5551]],
  "species": ["Mn", "Hg", "As", "As"],
  "fractional_positions": [[0.2184, 0.7184, 0.5000], [0.4413, 0.4413, 0.0000], [0.0944, 0.0944, 0.0000], [0.7459, 0.2459, 0.5000]],
  "density_g_cm3": 7.50,
  "delta_e_f_ev_per_atom": 0.1431,
  "final_energy_ev_per_atom": -4.55,
  "space_group": "No. 44"
}

***

Entry 4:
{
  "formula": "Mn2HgAs",
  "functional": "PBE-GGA",
  "state": "optimized geometry",
  "lattice": [[-4.4699, -0.6779, -2.7245], [-4.5875, -2.6109, 0.0201], [-2.9053, 2.7062, 1.7815]],
  "species": ["Mn", "Mn", "Hg", "As"],
  "fractional_positions": [[0.7688, 0.7688, 0.7184], [0.0125, 0.0125, 0.9893], [0.2414, 0.2414, 0.2371], [0.4774, 0.4774, 0.5552]],
  "density_g_cm3": 9.14,
  "delta_e_f_ev_per_atom": 0.2631,
  "final_energy_ev_per_atom": -5.56,
  "space_group": "No. 8",
  "de_polymorph_ev_per_atom": 0.093
}

***

Entry 5:
{
  "formula": "MnHgAs",
  "functional": "PBE-GGA",
  "state": "optimized geometry",
  "lattice": [[-4.1044, -1.5933, 1.1153], [-0.5327, -4.3967, 1.0068], [-0.8608, -1.2622, 4.2772]],
  "species": ["Mn", "As", "Hg"],
  "fractional_positions": [[0.5000, 0.5000, 0.5000], [0.7500, 0.7500, 0.7500], [0.0000, 0.0000, 0.0000]],
  "density_g_cm3": 8.28,
  "delta_e_f_ev_per_atom": 0.3872,
  "final_energy_ev_per_atom": -4.32,
  "space_group": "No. 216",
  "de_polymorph_ev_per_atom": 0.226
}

***

Entry 6:
{
  "formula": "Mn2Hg2As",
  "functional": "PBE-GGA",
  "state": "optimized geometry",
  "lattice": [[6.4428, 0.0000, 0.0000], [0.0000, 6.4428, 0.0000], [0.0000, 0.0000, 4.4373]],
  "species": ["Mn", "Mn", "Mn", "Mn", "Hg", "Hg", "Hg", "Hg", "As", "As"],
  "fractional_positions": [[0.8450, 0.6550, 0.0000], [0.1550, 0.3450, 0.0000], [0.6550, 0.1550, 0.0000], [0.3450, 0.8450, 0.0000], [0.3409, 0.1591, 0.5000], [0.1591, 0.6591, 0.5000], [0.6591, 0.8409, 0.5000], [0.8409, 0.3409, 0.5000], [0.5000, 0.5000, 0.0000], [0.0000, 0.0000, 0.0000]],
  "density_g_cm3": 10.57,
  "delta_e_f_ev_per_atom": 0.2198,
  "final_energy_ev_per_atom": -4.50,
  "space_group": "No. 127"
}

***

Entry 7:
{
  "formula": "MnHgAs2",
  "functional": "PBE-GGA",
  "state": "optimized geometry",
  "lattice": [[7.6507, -0.3622, -0.2141], [6.9915, 3.1279, -0.2141], [6.9915, 1.3206, 2.8436]],
  "species": ["As", "As", "Hg", "Mn"],
  "fractional_positions": [[0.0030, 0.0030, 0.0030], [0.2599, 0.2599, 0.2599], [0.4959, 0.4959, 0.4959], [0.7412, 0.7412, 0.7412]],
  "density_g_cm3": 8.35,
  "delta_e_f_ev_per_atom": 0.2555,
  "final_energy_ev_per_atom": -4.44,
  "space_group": "No. 160"
}

***

Entry 8:
{
  "formula": "Mn2HgAs",
  "functional": "PBE-GGA",
  "state": "optimized geometry",
  "lattice": [[-5.7866, -4.1686, 2.1975], [-3.0827, -6.2662, 2.6312], [-3.8535, -3.9244, 5.0439]],
  "species": ["Mn", "Mn", "Hg", "As"],
  "fractional_positions": [[0.5113, 0.5113, 0.5113], [0.9887, 0.9887, 0.9887], [0.7500, 0.7500, 0.7500], [0.2500, 0.2500, 0.2500]],
  "density_g_cm3": 8.63,
  "delta_e_f_ev_per_atom": 0.1801,
  "final_energy_ev_per_atom": -5.64,
  "space_group": "No. 166",
  "de_polymorph_ev_per_atom": 0.010
}

***

Entry 9:
{
  "formula": "MnHg2As",
  "functional": "PBE-GGA",
  "state": "optimized geometry",
  "lattice": [[5.2604, 0.0000, 0.0000], [0.0000, 4.0883, 0.0013], [0.0000, 0.0317, 4.0878]],
  "species": ["Hg", "Hg", "Mn", "As"],
  "fractional_positions": [[0.0000, 0.4976, 0.4976], [0.0000, 0.0024, 0.0024], [0.5000, 0.2500, 0.2500], [0.5000, 0.7500, 0.7500]],
  "density_g_cm3": 10.03,
  "delta_e_f_ev_per_atom": 0.2695,
  "final_energy_ev_per_atom": -3.34,
  "space_group": "No. 65"
}

***

Entry 10:
{
  "formula": "Mn4HgAs",
  "functional": "PBE-GGA",
  "state": "optimized geometry",
  "lattice": [[-0.5519, -4.3076, 2.3767], [-3.4761, -3.2069, -1.4633], [1.3093, -4.2320, -2.2101]],
  "species": ["Hg", "Mn", "Mn", "Mn", "Mn", "As"],
  "fractional_positions": [[0.0000, 0.0000, 0.0000], [0.8742, 0.3753, 0.3753], [0.3753, 0.3753, 0.3753], [0.3753, 0.3753, 0.8742], [0.3753, 0.8742, 0.3753], [0.7500, 0.7500, 0.7500]],
  "density_g_cm3": 9.59,
  "delta_e_f_ev_per_atom": 0.4967,
  "final_energy_ev_per_atom": -6.44,
  "space_group": "No. 216"
}

***

Entry 11:
{
  "formula": "MnHg2As",
  "functional": "PBE-GGA",
  "state": "optimized geometry",
  "lattice": [[9.3613, 0.0000, 0.0000], [0.0000, 9.3613, 0.0000], [4.6807, 4.6807, 2.3138]],
  "species": ["As", "As", "Mn", "Mn", "Hg", "Hg", "Hg", "Hg"],
  "fractional_positions": [[0.0000, 0.0000, 0.0000], [0.7500, 0.2500, 0.5000], [0.2500, 0.7500, 0.5000], [0.5000, 0.5000, 0.0000], [0.2280, 0.6250, 0.2500], [0.3750, 0.4780, 0.7500], [0.5220, 0.1250, 0.2500], [0.8750, 0.7720, 0.7500]],
  "density_g_cm3": 8.70,
  "delta_e_f_ev_per_atom": 0.3302,
  "final_energy_ev_per_atom": -3.28,
  "space_group": "No. 122"
}

***

Entry 12:
{
  "formula": "Mn2HgAs",
  "functional": "PBE-GGA",
  "state": "optimized geometry",
  "lattice": [[3.9780, 0.0000, 0.0000], [0.0000, 3.9780, 0.0000], [1.9890, 1.9890, 8.6239]],
  "species": ["Mn", "Mn", "Mn", "Mn", "Hg", "Hg", "As", "As"],
  "fractional_positions": [[0.2495, 0.6250, 0.2500], [0.3750, 0.4995, 0.7500], [0.8750, 0.7505, 0.7500], [0.5005, 0.1250, 0.2500], [0.0000, 0.0000, 0.0000], [0.7500, 0.2500, 0.5000], [0.2500, 0.7500, 0.5000], [0.5000, 0.5000, 0.0000]],
  "density_g_cm3": 9.38,
  "delta_e_f_ev_per_atom": 0.7218,
  "final_energy_ev_per_atom": -5.10,
  "space_group": "No. 122",
  "de_polymorph_ev_per_atom": 0.551
}